Zr2Sc3Cd2, optimized geometry, DFT PBE; crystal system = orthorhombic; space-group type = No. 65; calculated formation energy = -0.09 eV/atom; volume = 321 Å³/cell; DOS(E_F) = 12.85 states/eV per cell; raw total energy = -38.5 eV per formula unit
1.0
4.870 0.000 0.000
0.000 21.270 0.000
0.000 0.000 3.102
Zr Sc Cd
4 6 4
direct
0.000 0.222 0.000
0.000 0.778 0.000
0.500 0.278 0.000
0.500 0.722 0.000
0.000 0.353 0.500
0.000 0.500 0.500
0.000 0.647 0.500
0.500 0.000 0.500
0.500 0.147 0.500
0.500 0.853 0.500
0.000 0.072 0.000
0.000 0.928 0.000
0.500 0.428 0.000
0.500 0.572 0.000

=====

Er6CdFe2, optimized geometry, DFT PBE; crystal system = orthorhombic; space-group type = No. 71; calculated formation energy = -0.12 eV/atom; volume = 441 Å³/cell; DOS(E_F) = 21.09 states/eV per cell; raw total energy = -46.3 eV per formula unit
1.0
-4.659 4.782 4.947
4.659 -4.782 4.947
4.659 4.782 -4.947
Er Cd Fe
12 2 4
direct
0.011 0.226 0.785
0.188 0.292 0.480
0.188 0.708 0.897
0.312 0.016 0.704
0.312 0.608 0.296
0.442 0.226 0.215
0.558 0.774 0.785
0.688 0.392 0.704
0.688 0.984 0.296
0.812 0.292 0.103
0.812 0.708 0.520
0.989 0.774 0.215
0.000 0.000 0.000
0.500 0.500 0.000
0.109 0.609 0.500
0.386 0.000 0.386
0.614 0.000 0.614
0.891 0.391 0.500